Run i
VASP calculation (PBE-GGA) on a geometry-optimized AlBiTe3 structure.

a = 4.2105 Å, b = 8.4028 Å, c = 10.9938 Å
α = 88.35°, β = 90.00°, γ = 90.00°
Last column: nearest neighbours and their distance in Å.
Fractional positions:
Te 0.7500 0.2114 0.0270  3 Al 2.70-2.71
Te 0.2500 0.4960 0.3240  3 Bi 3.06-3.13
Al 0.7500 0.9575 0.8819  4 Te 2.57-2.71
Te 0.2500 0.7886 0.9730  3 Al 2.70-2.71
Te 0.2500 0.9935 0.3502  1 Al 2.57
Te 0.7500 0.0065 0.6498  1 Al 2.57
Bi 0.2500 0.2877 0.5649  5 Te 3.06-3.28
Te 0.7500 0.5040 0.6760  3 Bi 3.06-3.13
Bi 0.7500 0.7123 0.4351  5 Te 3.06-3.28
Al 0.2500 0.0425 0.1181  4 Te 2.57-2.71

Summary:
- Density: 5.3 Mg/m³
- Crystal system: monoclinic
- Space-group type: P2_1/m (11)
- V: 388.80 Å³ per cell
- Fermi-level density of states: 0.8 states/eV/cell


Run ii
VASP calculation (PBE-GGA) on a geometry-optimized AlBiTe3 structure.

a = 5.3377 Å, b = 5.3377 Å, c = 5.3377 Å
α = 90.00°, β = 90.00°, γ = 90.00°
Last column: nearest neighbours and their distance in Å.
Fractional positions:
Te 0.0000 0.5000 0.0000  2 Al 2.67
Te 0.5000 0.0000 0.0000  2 Al 2.67
Bi 0.5000 0.5000 0.5000  12 Te 3.77
Al 0.0000 0.0000 0.0000  6 Te 2.67
Te 0.0000 0.0000 0.5000  2 Al 2.67

Summary:
- Density: 6.8 Mg/m³
- Crystal system: cubic
- Space-group type: Pm-3m (221)
- V: 152.08 Å³ per cell
- Fermi-level density of states: 4.8 states/eV/cell


Run iii
VASP calculation (PBE-GGA) on a geometry-optimized AlBiTe3 structure.

a = 5.9557 Å, b = 5.9557 Å, c = 5.9557 Å
α = 90.00°, β = 90.00°, γ = 90.00°
Last column: nearest neighbours and their distance in Å.
Fractional positions:
Bi 0.0000 0.0000 0.0000  6 Te 2.98
Te 0.0000 0.5000 0.0000  2 Bi 2.98
Te 0.5000 0.0000 0.0000  2 Bi 2.98
Te 0.0000 0.0000 0.5000  2 Bi 2.98
Al 0.5000 0.5000 0.5000  12 Te 4.21

Summary:
- Density: 4.9 Mg/m³
- Crystal system: cubic
- Space-group type: Pm-3m (221)
- V: 211.25 Å³ per cell
- Fermi-level density of states: 8.1 states/eV/cell


run i is the most stable structure; the next one sits 0.451 eV/atom above it.


Run i
VASP calculation (PBE-GGA) on a geometry-optimized Th2AlBi structure.

a = 3.5579 Å, b = 3.5579 Å, c = 8.9010 Å
α = 90.00°, β = 90.00°, γ = 90.00°
Last column: nearest neighbours and their distance in Å.
Fractional positions:
Th 0.0000 0.0000 0.7712  4 Al 3.24, 4 Bi 3.49, 4 Th 3.56
Th 0.0000 0.0000 0.2288  4 Al 3.24, 4 Bi 3.49, 4 Th 3.56
Al 0.5000 0.5000 0.0000  8 Th 3.24, 4 Al 3.56
Bi 0.5000 0.5000 0.5000  8 Th 3.49, 4 Bi 3.56

Summary:
- Density: 10.3 Mg/m³
- Crystal system: tetragonal
- Space-group type: P4/mmm (123)
- V: 112.67 Å³ per cell
- Fermi-level density of states: 2.9 states/eV/cell


Run ii
VASP calculation (PBE-GGA) on a geometry-optimized Th2AlBi structure.

a = 4.4262 Å, b = 4.4262 Å, c = 7.9881 Å
α = 73.92°, β = 73.92°, γ = 60.00°
Last column: nearest neighbours and their distance in Å.
Fractional positions:
Th 0.7435 0.7435 0.7695  3 Al 3.09, 3 Bi 3.27
Th 0.2565 0.2565 0.2305  3 Al 3.09, 3 Bi 3.27
Bi 0.5000 0.5000 0.5000  6 Th 3.27
Al 0.0000 0.0000 0.0000  6 Th 3.09

Summary:
- Density: 9.1 Mg/m³
- Crystal system: trigonal
- Space-group type: R-3m (166)
- V: 128.41 Å³ per cell
- Fermi-level density of states: 2.7 states/eV/cell


run i is the most stable structure; the next one sits 0.056 eV/atom above it.


Run i
VASP calculation (PBE-GGA) on a geometry-optimized Ti4AlBi structure.

a = 2.9233 Å, b = 4.6340 Å, c = 8.0508 Å
α = 90.00°, β = 89.97°, γ = 90.00°
Last column: nearest neighbours and their distance in Å.
Fractional positions:
Al 0.9986 0.4973 0.9982  2 Al 2.92, 12 Ti 2.98-3.02
Ti 0.4985 0.4973 0.3212  5 Ti 2.68-2.92, 2 Al 2.98
Ti 0.4983 0.9973 0.1545  3 Ti 2.52-2.68
Bi 0.9987 0.9973 0.4981  2 Bi 2.92, 12 Ti 3.09-3.13
Ti 0.4984 0.9973 0.8417  3 Ti 2.52-2.68
Ti 0.4990 0.4973 0.6752  5 Ti 2.68-2.92, 2 Al 2.98

Summary:
- Density: 6.5 Mg/m³
- Crystal system: orthorhombic
- Space-group type: Pmmm (47)
- V: 109.06 Å³ per cell
- Fermi-level density of states: 7.7 states/eV/cell


Run ii
VASP calculation (PBE-GGA) on a geometry-optimized Ti4AlBi structure.

a = 4.8540 Å, b = 8.3726 Å, c = 5.5815 Å
α = 90.00°, β = 90.00°, γ = 96.73°
Last column: nearest neighbours and their distance in Å.
Fractional positions:
Al 0.2251 0.3964 0.2500  10 Ti 2.76-2.99, 1 Bi 3.00
Ti 0.7632 0.5604 0.2500  3 Ti 2.53-2.70, 4 Al 2.76-2.81
Ti 0.2929 0.7106 0.4850  2 Ti 2.62-2.70, 1 Al 2.92
Ti 0.8128 0.8651 0.2500  1 Ti 2.53, 1 Bi 2.77
Al 0.7749 0.6036 0.7500  10 Ti 2.76-2.99, 1 Bi 3.00
Ti 0.7071 0.2894 0.9850  2 Ti 2.62-2.70, 1 Al 2.92
Bi 0.3241 0.0495 0.2500  6 Ti 2.77-2.98, 1 Al 3.00
Ti 0.1872 0.1349 0.7500  1 Ti 2.53, 1 Bi 2.77
Ti 0.2368 0.4396 0.7500  3 Ti 2.53-2.70, 4 Al 2.76-2.81
Bi 0.6759 0.9504 0.7500  6 Ti 2.77-2.98, 1 Al 3.00
Ti 0.7071 0.2894 0.5150  2 Ti 2.62-2.70, 1 Al 2.92
Ti 0.2929 0.7106 0.0150  2 Ti 2.62-2.70, 1 Al 2.92

Summary:
- Density: 6.3 Mg/m³
- Crystal system: monoclinic
- Space-group type: P2_1/m (11)
- V: 225.28 Å³ per cell
- Fermi-level density of states: 11.5 states/eV/cell


run ii is the most stable structure; the next one sits 0.227 eV/atom above it.


Run i
VASP calculation (PBE-GGA) on a geometry-optimized Ti2Al2Bi structure.

a = 7.8949 Å, b = 7.8949 Å, c = 3.1460 Å
α = 90.00°, β = 90.00°, γ = 90.00°
Last column: nearest neighbours and their distance in Å.
Fractional positions:
Ti 0.3226 0.1774 0.5000  6 Al 2.79-2.84
Al 0.1161 0.3839 0.0000  1 Al 2.59, 6 Ti 2.79-2.84
Ti 0.6774 0.8226 0.5000  6 Al 2.79-2.84
Al 0.3839 0.8839 0.0000  1 Al 2.59, 6 Ti 2.79-2.84
Ti 0.8226 0.3226 0.5000  6 Al 2.79-2.84
Bi 0.5000 0.5000 0.0000  2 Bi 3.15, 4 Al 3.17, 8 Ti 3.30
Bi 0.0000 0.0000 0.0000  2 Bi 3.15, 4 Al 3.17, 8 Ti 3.30
Ti 0.1774 0.6774 0.5000  6 Al 2.79-2.84
Al 0.8839 0.6161 0.0000  1 Al 2.59, 6 Ti 2.79-2.84
Al 0.6161 0.1161 0.0000  1 Al 2.59, 6 Ti 2.79-2.84

Summary:
- Density: 6.1 Mg/m³
- Crystal system: tetragonal
- Space-group type: P4/mbm (127)
- V: 196.09 Å³ per cell
- Fermi-level density of states: 12.4 states/eV/cell


Run ii
VASP calculation (PBE-GGA) on a geometry-optimized Ti2Al2Bi structure.

a = 7.0570 Å, b = 7.0570 Å, c = 3.9657 Å
α = 90.00°, β = 90.00°, γ = 90.00°
Last column: nearest neighbours and their distance in Å.
Fractional positions:
Ti 0.1435 0.3565 0.0000  2 Bi 2.71, 6 Al 2.84-2.90, 1 Ti 2.86
Al 0.3555 0.1444 0.5000  6 Ti 2.84-2.90, 1 Al 2.88
Al 0.8556 0.3555 0.5000  6 Ti 2.84-2.90, 1 Al 2.88
Bi 0.0000 0.0000 0.0000  4 Ti 2.71
Bi 0.5000 0.5000 0.0000  4 Ti 2.71
Ti 0.8565 0.6435 0.0000  2 Bi 2.71, 6 Al 2.84-2.90, 1 Ti 2.86
Al 0.6444 0.8556 0.5000  6 Ti 2.84-2.90, 1 Al 2.88
Ti 0.3565 0.8565 0.0000  2 Bi 2.71, 6 Al 2.84-2.90, 1 Ti 2.86
Al 0.1444 0.6444 0.5000  6 Ti 2.84-2.90, 1 Al 2.88
Ti 0.6435 0.1435 0.0000  2 Bi 2.71, 6 Al 2.84-2.90, 1 Ti 2.86

Summary:
- Density: 6.0 Mg/m³
- Crystal system: tetragonal
- Space-group type: P4/mbm (127)
- V: 197.50 Å³ per cell
- Fermi-level density of states: 6.6 states/eV/cell


run ii is the most stable structure; the next one sits 0.072 eV/atom above it.


Run i
VASP calculation (PBE-GGA) on a geometry-optimized Ti3AlBi structure.

a = 4.7543 Å, b = 4.7543 Å, c = 4.7543 Å
α = 90.00°, β = 90.00°, γ = 90.00°
Last column: nearest neighbours and their distance in Å.
Fractional positions:
Ti 0.0000 0.5000 0.0000  2 Al 2.38
Ti 0.0000 0.0000 0.5000  2 Al 2.38
Al 0.0000 0.0000 0.0000  6 Ti 2.38
Ti 0.5000 0.0000 0.0000  2 Al 2.38
Bi 0.5000 0.5000 0.5000  12 Ti 3.36

Summary:
- Density: 5.9 Mg/m³
- Crystal system: cubic
- Space-group type: Pm-3m (221)
- V: 107.46 Å³ per cell
- Fermi-level density of states: 5.6 states/eV/cell


Run ii
VASP calculation (PBE-GGA) on a geometry-optimized Ti3AlBi structure.

a = 5.1054 Å, b = 5.1054 Å, c = 5.1054 Å
α = 90.00°, β = 90.00°, γ = 90.00°
Last column: nearest neighbours and their distance in Å.
Fractional positions:
Bi 0.0000 0.0000 0.0000  6 Ti 2.55
Ti 0.0000 0.5000 0.0000  2 Bi 2.55
Al 0.5000 0.5000 0.5000  12 Ti 3.61
Ti 0.5000 0.0000 0.0000  2 Bi 2.55
Ti 0.0000 0.0000 0.5000  2 Bi 2.55

Summary:
- Density: 4.7 Mg/m³
- Crystal system: cubic
- Space-group type: Pm-3m (221)
- V: 133.07 Å³ per cell
- Fermi-level density of states: 8.6 states/eV/cell


run i is the most stable structure; the next one sits 0.638 eV/atom above it.


Run i
VASP calculation (PBE-GGA) on a geometry-optimized YTi2AlBi structure.

a = 5.1705 Å, b = 5.3029 Å, c = 5.1705 Å
α = 90.00°, β = 90.00°, γ = 90.00°
Last column: nearest neighbours and their distance in Å.
Fractional positions:
Ti 0.0000 0.0000 0.5000  2 Bi 2.59
Al 0.0000 0.5000 0.0000  2 Bi 2.65
Ti 0.5000 0.0000 0.0000  2 Bi 2.59
Y 0.5000 0.5000 0.5000  4 Al 3.66, 8 Ti 3.70
Bi 0.0000 0.0000 0.0000  4 Ti 2.59, 2 Al 2.65

Summary:
- Density: 4.9 Mg/m³
- Crystal system: tetragonal
- Space-group type: P4/mmm (123)
- V: 141.77 Å³ per cell
- Fermi-level density of states: 7.1 states/eV/cell


Run ii
VASP calculation (PBE-GGA) on a geometry-optimized YTi2AlBi structure.

a = 4.9853 Å, b = 5.6679 Å, c = 4.9853 Å
α = 90.00°, β = 90.00°, γ = 90.00°
Last column: nearest neighbours and their distance in Å.
Fractional positions:
Ti 0.5000 0.0000 0.0000  2 Y 2.49
Al 0.5000 0.5000 0.5000  4 Bi 3.53, 8 Ti 3.77
Bi 0.0000 0.5000 0.0000  2 Y 2.83
Y 0.0000 0.0000 0.0000  4 Ti 2.49
Ti 0.0000 0.0000 0.5000  2 Y 2.49

Summary:
- Density: 5.0 Mg/m³
- Crystal system: tetragonal
- Space-group type: P4/mmm (123)
- V: 140.87 Å³ per cell
- Fermi-level density of states: 6.0 states/eV/cell


run i is the most stable structure; the next one sits 0.465 eV/atom above it.


Run i
VASP calculation (PBE-GGA) on a geometry-optimized Al2TlBi2 structure.

a = 4.3797 Å, b = 4.3797 Å, c = 8.3223 Å
α = 74.74°, β = 74.74°, γ = 90.00°
Last column: nearest neighbours and their distance in Å.
Fractional positions:
Tl 0.0000 0.0000 0.0000  8 Bi 3.65
Al 0.2500 0.7500 0.5000  4 Bi 2.92, 4 Al 3.10
Bi 0.6251 0.6251 0.7499  4 Al 2.92
Al 0.7500 0.2500 0.5000  4 Bi 2.92, 4 Al 3.10
Bi 0.3749 0.3749 0.2501  4 Al 2.92

Summary:
- Density: 7.6 Mg/m³
- Crystal system: tetragonal
- Space-group type: I4/mmm (139)
- V: 148.17 Å³ per cell
- Fermi-level density of states: 2.1 states/eV/cell


Run ii
VASP calculation (PBE-GGA) on a geometry-optimized Al2TlBi2 structure.

a = 8.9835 Å, b = 8.9835 Å, c = 3.4563 Å
α = 90.00°, β = 90.00°, γ = 90.00°
Last column: nearest neighbours and their distance in Å.
Fractional positions:
Al 0.3602 0.1398 0.5000  6 Bi 3.14-3.16, 2 Al 3.46
Al 0.1398 0.6398 0.5000  6 Bi 3.14-3.16, 2 Al 3.46
Al 0.8602 0.3602 0.5000  6 Bi 3.14-3.16, 2 Al 3.46
Bi 0.3458 0.8458 0.0000  6 Al 3.14-3.16, 2 Tl 3.40, 2 Bi 3.46
Bi 0.1542 0.3458 0.0000  6 Al 3.14-3.16, 2 Tl 3.40, 2 Bi 3.46
Tl 0.5000 0.5000 0.0000  4 Bi 3.40, 2 Tl 3.46
Bi 0.6542 0.1542 0.0000  6 Al 3.14-3.16, 2 Tl 3.40, 2 Bi 3.46
Bi 0.8458 0.6542 0.0000  6 Al 3.14-3.16, 2 Tl 3.40, 2 Bi 3.46
Tl 0.0000 0.0000 0.0000  4 Bi 3.40, 2 Tl 3.46
Al 0.6398 0.8602 0.5000  6 Bi 3.14-3.16, 2 Al 3.46

Summary:
- Density: 8.1 Mg/m³
- Crystal system: tetragonal
- Space-group type: P4/mbm (127)
- V: 278.94 Å³ per cell
- Fermi-level density of states: 5.1 states/eV/cell


run i is the most stable structure; the next one sits 0.125 eV/atom above it.


Run i
VASP calculation (PBE-GGA) on a geometry-optimized Al2TlBi2 structure.

a = 5.3162 Å, b = 5.3162 Å, c = 6.4177 Å
α = 65.53°, β = 65.53°, γ = 90.00°
Last column: nearest neighbours and their distance in Å.
Fractional positions:
Al 0.3759 0.3759 0.2481  1 Al 2.58
Bi 0.7500 0.2500 0.5000  4 Al 2.96
Bi 0.2500 0.7500 0.5000  4 Al 2.96
Al 0.6241 0.6241 0.7519  1 Al 2.58
Tl 0.0000 0.0000 0.0000  8 Bi 3.72, 10 Al 3.91-3.97

Summary:
- Density: 7.6 Mg/m³
- Crystal system: tetragonal
- Space-group type: I4/mmm (139)
- V: 147.01 Å³ per cell
- Fermi-level density of states: 2.6 states/eV/cell


Run ii
VASP calculation (PBE-GGA) on a geometry-optimized Al2TlBi2 structure.

a = 8.2977 Å, b = 8.2977 Å, c = 3.8979 Å
α = 90.00°, β = 90.00°, γ = 90.00°
Last column: nearest neighbours and their distance in Å.
Fractional positions:
Bi 0.1659 0.6659 0.5000  6 Al 3.11-3.15
Al 0.8769 0.6231 0.0000  1 Al 2.89, 6 Bi 3.11-3.15
Bi 0.3341 0.1659 0.5000  6 Al 3.11-3.15
Bi 0.6659 0.8341 0.5000  6 Al 3.11-3.15
Al 0.3769 0.8769 0.0000  1 Al 2.89, 6 Bi 3.11-3.15
Al 0.1231 0.3769 0.0000  1 Al 2.89, 6 Bi 3.11-3.15
Tl 0.0000 0.0000 0.0000  4 Al 3.29, 8 Bi 3.66
Al 0.6231 0.1231 0.0000  1 Al 2.89, 6 Bi 3.11-3.15
Bi 0.8341 0.3341 0.5000  6 Al 3.11-3.15
Tl 0.5000 0.5000 0.0000  4 Al 3.29, 8 Bi 3.66

Summary:
- Density: 8.4 Mg/m³
- Crystal system: tetragonal
- Space-group type: P4/mbm (127)
- V: 268.37 Å³ per cell
- Fermi-level density of states: 2.9 states/eV/cell


run i is the most stable structure; the next one sits 0.018 eV/atom above it.